w) Density functional theory data (PBE) for CsKNa2Li after structural relaxation.

Cell lengths 6.376, 6.376, 7.156 Å; angles 90.00, 90.00, 90.00 degrees
Space group P4/mmm (No. 123)
One atom of each set of equivalent atoms:
Cs  0.000  0.000  0.000 (multiplicity 1)
K  0.500  0.500  0.000 (multiplicity 1)
Na  0.000  0.500  0.500 (multiplicity 2)
Li  0.000  0.000  0.500 (multiplicity 1)

=====

x) Density functional theory data (PBE) for CsKNa2Li after structural relaxation.

Cell lengths 6.412, 6.412, 6.749 Å; angles 90.00, 90.00, 90.00 degrees
Space group P4/mmm (No. 123)
One atom of each set of equivalent atoms:
Cs  0.000  0.000  0.000 (multiplicity 1)
K  0.500  0.500  0.000 (multiplicity 1)
Na  0.000  0.500  0.500 (multiplicity 2)
Li  0.500  0.500  0.500 (multiplicity 1)

=====

Ordering by calculated energy gives the sequence x), w), with the first entry being the most stable.

=====

w) Density functional theory data (PBE) for CsK2LiPb after structural relaxation.

Cell lengths 6.950, 6.950, 5.674 Å; angles 90.00, 90.00, 90.00 degrees
Space group P4/mmm (No. 123)
One atom of each set of equivalent atoms:
Cs  0.000  0.000  0.000 (multiplicity 1)
K  0.000  0.500  0.500 (multiplicity 2)
Li  0.500  0.500  0.000 (multiplicity 1)
Pb  0.500  0.500  0.500 (multiplicity 1)

=====

x) Density functional theory data (PBE) for CsK2LiPb after structural relaxation.

Cell lengths 6.616, 6.616, 5.423 Å; angles 90.00, 90.00, 90.00 degrees
Space group P4/mmm (No. 123)
One atom of each set of equivalent atoms:
Cs  0.000  0.000  0.000 (multiplicity 1)
K  0.000  0.500  0.500 (multiplicity 2)
Li  0.500  0.500  0.500 (multiplicity 1)
Pb  0.500  0.500  0.000 (multiplicity 1)

=====

Ordering by calculated energy gives the sequence w), x), with the first entry being the most stable.

=====

w) Density functional theory data (PBE) for CsKLiSb after structural relaxation.

Cell lengths 5.2398, 5.2398, 22.0335 Å; angles 90.00, 90.00, 120.00 degrees
Space group R3m (No. 160, hexagonal axes)
One atom of each set of equivalent atoms:
Cs  0.0000  0.0000  0.0000 (multiplicity 3)
K  0.0000  0.0000  0.1862 (multiplicity 3)
Li  0.0000  0.0000  0.4420 (multiplicity 3)
Sb  0.0000  0.0000  0.7751 (multiplicity 3)

=====

x) Density functional theory data (PBE) for CsKLiSb after structural relaxation.

Cell lengths 8.225, 8.225, 8.225 Å; angles 90.00, 90.00, 90.00 degrees
Space group F-43m (No. 216)
One atom of each set of equivalent atoms:
Cs  0.000  0.000  0.000 (multiplicity 4)
K  0.250  0.250  0.250 (multiplicity 4)
Li  0.250  0.250  0.750 (multiplicity 4)
Sb  0.000  0.000  0.500 (multiplicity 4)

=====

Ordering by calculated energy gives the sequence w), x), with the first entry being the most stable.

=====

w) Density functional theory data (PBE) for Cs2KMg after structural relaxation.

Cell lengths 12.050, 12.050, 8.562 Å; angles 90.00, 90.00, 90.00 degrees
Space group I-42d (No. 122)
One atom of each set of equivalent atoms:
Cs  0.200  0.250  0.125 (multiplicity 8)
K  0.000  0.000  0.500 (multiplicity 4)
Mg  0.000  0.000  0.000 (multiplicity 4)

=====

x) Density functional theory data (PBE) for Cs2KMg after structural relaxation.

Cell lengths 6.713, 6.713, 6.199 Å; angles 90.00, 90.00, 90.00 degrees
Space group P4/mmm (No. 123)
One atom of each set of equivalent atoms:
Cs  0.000  0.500  0.000 (multiplicity 2)
K  0.000  0.000  0.500 (multiplicity 1)
Mg  0.500  0.500  0.500 (multiplicity 1)

=====

Ordering by calculated energy gives the sequence x), w), with the first entry being the most stable.

=====

w) Density functional theory data (PBE) for Cs2KMg after structural relaxation.

Cell lengths 4.876, 4.876, 12.410 Å; angles 90.00, 90.00, 90.00 degrees
Space group P4/mmm (No. 123)
One atom of each set of equivalent atoms:
Cs  0.000  0.000  0.199 (multiplicity 2)
K  0.500  0.500  0.500 (multiplicity 1)
Mg  0.500  0.500  0.000 (multiplicity 1)

=====

x) Density functional theory data (PBE) for Cs2KMg after structural relaxation.

Cell lengths 10.433, 10.433, 10.433 Å; angles 90.00, 90.00, 90.00 degrees
Space group Fm-3m (No. 225)
One atom of each set of equivalent atoms:
Cs  0.250  0.250  0.250 (multiplicity 8)
K  0.000  0.000  0.000 (multiplicity 4)
Mg  0.000  0.000  0.500 (multiplicity 4)

=====

Ordering by calculated energy gives the sequence w), x), with the first entry being the most stable.

=====

w) Density functional theory data (PBE) for Cs2KMgSb after structural relaxation.

Cell lengths 7.183, 7.183, 6.179 Å; angles 90.00, 90.00, 90.00 degrees
Space group P4/mmm (No. 123)
One atom of each set of equivalent atoms:
Cs  0.000  0.500  0.000 (multiplicity 2)
K  0.000  0.000  0.000 (multiplicity 1)
Mg  0.000  0.000  0.500 (multiplicity 1)
Sb  0.500  0.500  0.500 (multiplicity 1)

=====

x) Density functional theory data (PBE) for Cs2KMgSb after structural relaxation.

Cell lengths 7.835, 7.835, 5.437 Å; angles 90.00, 90.00, 90.00 degrees
Space group P4/mmm (No. 123)
One atom of each set of equivalent atoms:
Cs  0.000  0.500  0.000 (multiplicity 2)
K  0.000  0.000  0.500 (multiplicity 1)
Mg  0.500  0.500  0.500 (multiplicity 1)
Sb  0.500  0.500  0.000 (multiplicity 1)

=====

Ordering by calculated energy gives the sequence x), w), with the first entry being the most stable.

=====

w) Density functional theory data (PBE) for CsKMo3 after structural relaxation.

Cell lengths 5.226, 5.226, 5.226 Å; angles 90.00, 90.00, 90.00 degrees
Space group Pm-3m (No. 221)
One atom of each set of equivalent atoms:
Cs  0.000  0.000  0.000 (multiplicity 1)
K  0.500  0.500  0.500 (multiplicity 1)
Mo  0.000  0.500  0.500 (multiplicity 3)

=====

x) Density functional theory data (PBE) for CsKMo3 after structural relaxation.

Cell lengths 5.064, 5.064, 5.064 Å; angles 90.00, 90.00, 90.00 degrees
Space group Pm-3m (No. 221)
One atom of each set of equivalent atoms:
Cs  0.000  0.000  0.000 (multiplicity 1)
K  0.500  0.500  0.500 (multiplicity 1)
Mo  0.000  0.000  0.500 (multiplicity 3)

=====

Ordering by calculated energy gives the sequence x), w), with the first entry being the most stable.

=====

w) Density functional theory data (PBE) for CsKN2 after structural relaxation.

Cell lengths 4.3662, 4.3662, 22.3772 Å; angles 90.00, 90.00, 120.00 degrees
Space group R-3m (No. 166, hexagonal axes)
One atom of each set of equivalent atoms:
Cs  0.0000  0.0000  0.0000 (multiplicity 3)
K  0.0000  0.0000  0.5000 (multiplicity 3)
N  0.0000  0.0000  0.0962 (multiplicity 6)

=====

x) Density functional theory data (PBE) for CsKN2 after structural relaxation.

Cell lengths 7.307, 7.307, 7.307 Å; angles 90.00, 90.00, 90.00 degrees
Space group Fm-3m (No. 225)
One atom of each set of equivalent atoms:
Cs  0.000  0.000  0.000 (multiplicity 4)
K  0.000  0.000  0.500 (multiplicity 4)
N  0.250  0.250  0.250 (multiplicity 8)

=====

Ordering by calculated energy gives the sequence x), w), with the first entry being the most stable.

=====

w) Density functional theory data (PBE) for Cs3K3Na2 after structural relaxation.

Cell lengths 7.297, 16.131, 20.913 Å; angles 90.00, 90.00, 90.00 degrees
Space group Cmcm (No. 63)
One atom of each set of equivalent atoms:
Cs  0.000  0.030  0.250 (multiplicity 4)
Cs  0.000  0.155  0.529 (multiplicity 8)
K  0.000  0.258  0.750 (multiplicity 4)
K  0.000  0.458  0.603 (multiplicity 8)
Na  0.000  0.299  0.162 (multiplicity 8)

=====

x) Density functional theory data (PBE) for Cs3K3Na2 after structural relaxation.

Cell lengths 6.925, 7.181, 13.333 Å; angles 74.78, 74.99, 89.94 degrees
Space group P-1 (No. 2)
One atom of each set of equivalent atoms:
Cs  0.000  0.000  0.000 (multiplicity 1)
Cs  0.146  0.642  0.708 (multiplicity 2)
K  0.347  0.845  0.306 (multiplicity 2)
K  0.500  0.500  0.000 (multiplicity 1)
Na  0.246  0.237  0.505 (multiplicity 2)

=====

Ordering by calculated energy gives the sequence x), w), with the first entry being the most stable.

=====

w) Density functional theory data (PBE) for Cs2KNa2 after structural relaxation.

Cell lengths 7.978, 23.323, 8.140 Å; angles 90.00, 90.00, 90.00 degrees
Space group Cmcm (No. 63)
One atom of each set of equivalent atoms:
Cs  0.000  0.073  0.250 (multiplicity 4)
Cs  0.000  0.292  0.750 (multiplicity 4)
K  0.000  0.500  0.000 (multiplicity 4)
Na  0.243  0.123  0.750 (multiplicity 8)

=====

x) Density functional theory data (PBE) for Cs2KNa2 after structural relaxation.

Cell lengths 4.990, 4.990, 29.917 Å; angles 90.00, 90.00, 90.00 degrees
Space group I4/mmm (No. 139)
One atom of each set of equivalent atoms:
Cs  0.000  0.000  0.124 (multiplicity 4)
K  0.000  0.000  0.500 (multiplicity 2)
Na  0.000  0.500  0.250 (multiplicity 4)

=====

y) Density functional theory data (PBE) for Cs2KNa2 after structural relaxation.

Cell lengths 6.571, 6.571, 18.287 Å; angles 90.00, 90.00, 90.00 degrees
Space group I4/mmm (No. 139)
One atom of each set of equivalent atoms:
Cs  0.000  0.500  0.250 (multiplicity 4)
K  0.000  0.000  0.000 (multiplicity 2)
Na  0.000  0.000  0.410 (multiplicity 4)

=====

z) Density functional theory data (PBE) for Cs2KNa2 after structural relaxation.

Cell lengths 10.884, 10.884, 6.199 Å; angles 90.00, 90.00, 90.00 degrees
Space group P4/mbm (No. 127)
One atom of each set of equivalent atoms:
Cs  0.174  0.326  0.000 (multiplicity 4)
K  0.000  0.000  0.500 (multiplicity 2)
Na  0.121  0.621  0.500 (multiplicity 4)

=====

Ordering by calculated energy gives the sequence z), w), x), y), with the first entry being the most stable.

=====

w) Density functional theory data (PBE) for Cs2KNa2 after structural relaxation.

Cell lengths 19.067, 4.635, 8.369 Å; angles 90.00, 102.61, 90.00 degrees
Space group C2/m (No. 12)
One atom of each set of equivalent atoms:
Cs  0.132  0.000  0.060 (multiplicity 4)
K  0.000  0.500  0.500 (multiplicity 2)
Na  0.192  0.000  0.584 (multiplicity 4)

=====

x) Density functional theory data (PBE) for Cs2KNa2 after structural relaxation.

Cell lengths 12.343, 12.343, 4.727 Å; angles 90.00, 90.00, 90.00 degrees
Space group P4/mbm (No. 127)
One atom of each set of equivalent atoms:
Cs  0.139  0.361  0.000 (multiplicity 4)
K  0.000  0.000  0.000 (multiplicity 2)
Na  0.160  0.660  0.500 (multiplicity 4)

=====

Ordering by calculated energy gives the sequence w), x), with the first entry being the most stable.

=====

w) Density functional theory data (PBE) for CsK2Na3 after structural relaxation.

Cell lengths 6.993, 21.092, 4.772 Å; angles 90.00, 90.00, 90.00 degrees
Space group Cmmm (No. 65)
One atom of each set of equivalent atoms:
Cs  0.000  0.000  0.000 (multiplicity 2)
K  0.000  0.337  0.000 (multiplicity 4)
Na  0.000  0.180  0.500 (multiplicity 4)
Na  0.000  0.500  0.500 (multiplicity 2)

=====

x) Density functional theory data (PBE) for CsK2Na3 after structural relaxation.

Cell lengths 4.844, 4.844, 14.926 Å; angles 90.00, 90.00, 90.00 degrees
Space group P4/mmm (No. 123)
One atom of each set of equivalent atoms:
Cs  0.000  0.000  0.000 (multiplicity 1)
K  0.000  0.000  0.343 (multiplicity 2)
Na  0.500  0.500  0.196 (multiplicity 2)
Na  0.500  0.500  0.500 (multiplicity 1)

=====

Ordering by calculated energy gives the sequence x), w), with the first entry being the most stable.